#a
First-principles (PBE) data for a relaxed BaCuGeAu crystal, as listed in the Open Quantum Materials Database. Values from VASP.

Structure (Quantum ESPRESSO input):
```
&SYSTEM
  ibrav = 0, nat = 4, ntyp = 4
/
ATOMIC_SPECIES
Ge 72.64 Ge.upf
Cu 63.55 Cu.upf
Au 196.97 Au.upf
Ba 137.33 Ba.upf
ATOMIC_POSITIONS crystal
Ge 0.500 0.500 0.500
Cu 0.000 0.000 0.000
Au 0.750 0.750 0.750
Ba 0.250 0.250 0.250
CELL_PARAMETERS angstrom
0.000 3.574 3.574
3.574 0.000 3.574
3.574 3.574 0.000
```

---

#b
First-principles (PBE) data for a relaxed BaCuGeAu crystal, as listed in the Open Quantum Materials Database. Values from VASP.

Structure (Quantum ESPRESSO input):
```
&SYSTEM
  ibrav = 0, nat = 4, ntyp = 4
/
ATOMIC_SPECIES
Ge 72.64 Ge.upf
Ba 137.33 Ba.upf
Cu 63.55 Cu.upf
Au 196.97 Au.upf
ATOMIC_POSITIONS crystal
Ge 0.250 0.250 0.250
Ba 0.500 0.500 0.500
Cu 0.000 0.000 0.000
Au 0.750 0.750 0.750
CELL_PARAMETERS angstrom
4.727 -0.851 1.835
0.651 -1.257 4.943
1.444 -4.768 1.271
```

---

Which structure is most stable? #a, by 50 meV/atom over the runner-up.

---

#a
First-principles (PBE) data for a relaxed BaHfCuAu crystal, as listed in the Open Quantum Materials Database. Values from VASP.

Structure (Quantum ESPRESSO input):
```
&SYSTEM
  ibrav = 0, nat = 4, ntyp = 4
/
ATOMIC_SPECIES
Ba 137.33 Ba.upf
Cu 63.55 Cu.upf
Hf 178.49 Hf.upf
Au 196.97 Au.upf
ATOMIC_POSITIONS crystal
Ba 0.250 0.250 0.250
Cu 0.000 0.000 0.000
Hf 0.500 0.500 0.500
Au 0.750 0.750 0.750
CELL_PARAMETERS angstrom
3.652 -2.517 2.190
0.654 0.343 4.891
-1.054 -3.857 2.913
```

---

#b
First-principles (PBE) data for a relaxed BaHfCuAu crystal, as listed in the Open Quantum Materials Database. Values from VASP.

Structure (Quantum ESPRESSO input):
```
&SYSTEM
  ibrav = 0, nat = 4, ntyp = 4
/
ATOMIC_SPECIES
Ba 137.33 Ba.upf
Cu 63.55 Cu.upf
Hf 178.49 Hf.upf
Au 196.97 Au.upf
ATOMIC_POSITIONS crystal
Ba 0.000 0.000 0.000
Cu 0.250 0.250 0.250
Hf 0.500 0.500 0.500
Au 0.750 0.750 0.750
CELL_PARAMETERS angstrom
-4.620 -1.585 -1.644
-4.265 2.435 1.561
-2.682 2.886 -3.322
```

---

#c
First-principles (PBE) data for a relaxed BaHfCuAu crystal, as listed in the Open Quantum Materials Database. Values from VASP.

Structure (Quantum ESPRESSO input):
```
&SYSTEM
  ibrav = 0, nat = 4, ntyp = 4
/
ATOMIC_SPECIES
Cu 63.55 Cu.upf
Ba 137.33 Ba.upf
Hf 178.49 Hf.upf
Au 196.97 Au.upf
ATOMIC_POSITIONS crystal
Cu 0.000 0.000 0.000
Ba 0.500 0.500 0.500
Hf 0.250 0.250 0.250
Au 0.750 0.750 0.750
CELL_PARAMETERS angstrom
-4.928 -0.332 0.761
-3.149 0.265 -3.871
-2.488 -4.073 -1.480
```

---

Which structure is most stable? #b, by 100 meV/atom over the runner-up.

---

#a
First-principles (PBE) data for a relaxed BaCuSiAu crystal, as listed in the Open Quantum Materials Database. Values from VASP.

Structure (Quantum ESPRESSO input):
```
&SYSTEM
  ibrav = 0, nat = 4, ntyp = 4
/
ATOMIC_SPECIES
Ba 137.33 Ba.upf
Au 196.97 Au.upf
Si 28.09 Si.upf
Cu 63.55 Cu.upf
ATOMIC_POSITIONS crystal
Ba 0.000 0.000 0.000
Au 0.750 0.750 0.750
Si 0.500 0.500 0.500
Cu 0.250 0.250 0.250
CELL_PARAMETERS angstrom
-0.675 -0.317 5.029
-0.118 4.228 2.821
-4.373 1.546 2.080
```

---

#b
First-principles (PBE) data for a relaxed BaCuSiAu crystal, as listed in the Open Quantum Materials Database. Values from VASP.

Structure (Quantum ESPRESSO input):
```
&SYSTEM
  ibrav = 0, nat = 4, ntyp = 4
/
ATOMIC_SPECIES
Au 196.97 Au.upf
Cu 63.55 Cu.upf
Si 28.09 Si.upf
Ba 137.33 Ba.upf
ATOMIC_POSITIONS crystal
Au 0.750 0.750 0.750
Cu 0.000 0.000 0.000
Si 0.500 0.500 0.500
Ba 0.250 0.250 0.250
CELL_PARAMETERS angstrom
0.203 2.952 4.045
-3.783 0.010 3.287
0.625 -2.017 4.545
```

---

Which structure is most stable? #a, by 28 meV/atom over the runner-up.

---

#a
First-principles (PBE) data for a relaxed BaErAu crystal, as listed in the Open Quantum Materials Database. Values from VASP.

Structure (Quantum ESPRESSO input):
```
&SYSTEM
  ibrav = 0, nat = 3, ntyp = 3
/
ATOMIC_SPECIES
Au 196.97 Au.upf
Er 167.26 Er.upf
Ba 137.33 Ba.upf
ATOMIC_POSITIONS crystal
Au 0.250 0.250 0.250
Er 0.750 0.750 0.750
Ba 0.000 0.000 0.000
CELL_PARAMETERS angstrom
-0.709 -3.496 3.800
-4.801 -0.985 1.773
-2.280 -4.567 -1.052
```

---

#b
First-principles (PBE) data for a relaxed BaErAu crystal, as listed in the Open Quantum Materials Database. Values from VASP.

Structure (Quantum ESPRESSO input):
```
&SYSTEM
  ibrav = 0, nat = 3, ntyp = 3
/
ATOMIC_SPECIES
Au 196.97 Au.upf
Ba 137.33 Ba.upf
Er 167.26 Er.upf
ATOMIC_POSITIONS crystal
Au 0.250 0.250 0.250
Ba 0.750 0.750 0.750
Er 0.000 0.000 0.000
CELL_PARAMETERS angstrom
-3.730 -3.522 -0.204
-4.842 1.440 -0.916
-2.211 -1.140 -4.491
```

---

Which structure is most stable? #b, by 333 meV/atom over the runner-up.

---

#a
First-principles (PBE) data for a relaxed BaFeReAu crystal, as listed in the Open Quantum Materials Database. Values from VASP.

Structure (Quantum ESPRESSO input):
```
&SYSTEM
  ibrav = 0, nat = 4, ntyp = 4
/
ATOMIC_SPECIES
Au 196.97 Au.upf
Ba 137.33 Ba.upf
Re 186.21 Re.upf
Fe 55.84 Fe.upf
ATOMIC_POSITIONS crystal
Au 0.750 0.750 0.750
Ba 0.000 0.000 0.000
Re 0.500 0.500 0.500
Fe 0.250 0.250 0.250
CELL_PARAMETERS angstrom
-3.474 2.838 2.091
-3.115 2.594 -2.839
-4.764 -1.309 -0.282
```

---

#b
First-principles (PBE) data for a relaxed BaFeReAu crystal, as listed in the Open Quantum Materials Database. Values from VASP.

Structure (Quantum ESPRESSO input):
```
&SYSTEM
  ibrav = 0, nat = 4, ntyp = 4
/
ATOMIC_SPECIES
Au 196.97 Au.upf
Fe 55.84 Fe.upf
Ba 137.33 Ba.upf
Re 186.21 Re.upf
ATOMIC_POSITIONS crystal
Au 0.750 0.750 0.750
Fe 0.000 0.000 0.000
Ba 0.250 0.250 0.250
Re 0.500 0.500 0.500
CELL_PARAMETERS angstrom
1.856 -3.866 2.241
2.719 0.574 3.961
-1.710 -1.343 4.323
```

---

Which structure is most stable? #a, by 175 meV/atom over the runner-up.

---

#a
First-principles (PBE) data for a relaxed BaFeTe3Au crystal, as listed in the Open Quantum Materials Database. Values from VASP.

Structure (Quantum ESPRESSO input):
```
&SYSTEM
  ibrav = 0, nat = 24, ntyp = 4
/
ATOMIC_SPECIES
Te 127.60 Te.upf
Ba 137.33 Ba.upf
Fe 55.84 Fe.upf
Au 196.97 Au.upf
ATOMIC_POSITIONS crystal
Te 0.892 0.250 0.347
Te 0.637 0.750 0.279
Te 0.915 0.750 0.064
Te 0.108 0.750 0.653
Te 0.363 0.250 0.721
Te 0.392 0.250 0.153
Te 0.137 0.750 0.221
Te 0.608 0.750 0.847
Te 0.585 0.250 0.564
Te 0.085 0.250 0.936
Te 0.863 0.250 0.779
Te 0.415 0.750 0.436
Ba 0.278 0.750 0.942
Ba 0.222 0.250 0.442
Ba 0.778 0.750 0.558
Ba 0.722 0.250 0.058
Fe 0.517 0.250 0.335
Fe 0.983 0.750 0.835
Fe 0.017 0.250 0.165
Fe 0.483 0.750 0.665
Au 0.990 0.250 0.586
Au 0.490 0.250 0.914
Au 0.510 0.750 0.086
Au 0.010 0.750 0.414
CELL_PARAMETERS angstrom
14.396 0.000 0.000
0.000 4.370 0.000
0.000 0.000 11.006
```

---

#b
First-principles (PBE) data for a relaxed BaFeTe3Au crystal, as listed in the Open Quantum Materials Database. Values from VASP.

Structure (Quantum ESPRESSO input):
```
&SYSTEM
  ibrav = 0, nat = 12, ntyp = 4
/
ATOMIC_SPECIES
Ba 137.33 Ba.upf
Te 127.60 Te.upf
Fe 55.84 Fe.upf
Au 196.97 Au.upf
ATOMIC_POSITIONS crystal
Ba 0.768 0.232 0.750
Ba 0.232 0.768 0.250
Te 0.375 0.625 0.972
Te 0.926 0.074 0.250
Te 0.625 0.375 0.472
Te 0.375 0.625 0.528
Te 0.074 0.926 0.750
Te 0.625 0.375 0.028
Fe 0.000 0.000 0.500
Fe 0.000 0.000 0.000
Au 0.546 0.454 0.250
Au 0.454 0.546 0.750
CELL_PARAMETERS angstrom
-1.928 6.274 -4.200
-2.184 -6.730 3.266
-2.699 5.372 9.265
```

---

Which structure is most stable? #a, by 50 meV/atom over the runner-up.

---

#a
First-principles (PBE) data for a relaxed BaGaHgAu crystal, as listed in the Open Quantum Materials Database. Values from VASP.

Structure (Quantum ESPRESSO input):
```
&SYSTEM
  ibrav = 0, nat = 4, ntyp = 4
/
ATOMIC_SPECIES
Ba 137.33 Ba.upf
Hg 200.59 Hg.upf
Ga 69.72 Ga.upf
Au 196.97 Au.upf
ATOMIC_POSITIONS crystal
Ba 0.250 0.250 0.250
Hg 0.500 0.500 0.500
Ga 0.000 0.000 0.000
Au 0.750 0.750 0.750
CELL_PARAMETERS angstrom
0.000 3.746 3.746
3.746 0.000 3.746
3.746 3.746 0.000
```

---

#b
First-principles (PBE) data for a relaxed BaGaHgAu crystal, as listed in the Open Quantum Materials Database. Values from VASP.

Structure (Quantum ESPRESSO input):
```
&SYSTEM
  ibrav = 0, nat = 4, ntyp = 4
/
ATOMIC_SPECIES
Hg 200.59 Hg.upf
Ba 137.33 Ba.upf
Au 196.97 Au.upf
Ga 69.72 Ga.upf
ATOMIC_POSITIONS crystal
Hg 0.500 0.500 0.500
Ba 0.000 0.000 0.000
Au 0.750 0.750 0.750
Ga 0.250 0.250 0.250
CELL_PARAMETERS angstrom
-1.107 -3.692 3.685
-1.345 1.485 4.942
-5.010 -0.645 1.707
```

---

Which structure is most stable? #b, by 18 meV/atom over the runner-up.

---

#a
First-principles (PBE) data for a relaxed BaMgGaAu crystal, as listed in the Open Quantum Materials Database. Values from VASP.

Structure (Quantum ESPRESSO input):
```
&SYSTEM
  ibrav = 0, nat = 4, ntyp = 4
/
ATOMIC_SPECIES
Au 196.97 Au.upf
Ga 69.72 Ga.upf
Ba 137.33 Ba.upf
Mg 24.30 Mg.upf
ATOMIC_POSITIONS crystal
Au 0.750 0.750 0.750
Ga 0.000 0.000 0.000
Ba 0.250 0.250 0.250
Mg 0.500 0.500 0.500
CELL_PARAMETERS angstrom
0.000 3.656 3.656
3.656 0.000 3.656
3.656 3.656 0.000
```

---

#b
First-principles (PBE) data for a relaxed BaMgGaAu crystal, as listed in the Open Quantum Materials Database. Values from VASP.

Structure (Quantum ESPRESSO input):
```
&SYSTEM
  ibrav = 0, nat = 4, ntyp = 4
/
ATOMIC_SPECIES
Ga 69.72 Ga.upf
Au 196.97 Au.upf
Ba 137.33 Ba.upf
Mg 24.30 Mg.upf
ATOMIC_POSITIONS crystal
Ga 0.250 0.250 0.250
Au 0.750 0.750 0.750
Ba 0.000 0.000 0.000
Mg 0.500 0.500 0.500
CELL_PARAMETERS angstrom
2.868 -4.432 0.550
1.871 -1.376 4.773
-2.044 -4.185 2.546
```

---

Which structure is most stable? #b, by 100 meV/atom over the runner-up.

---

#a
First-principles (PBE) data for a relaxed BaGaSnAu2 crystal, as listed in the Open Quantum Materials Database. Values from VASP.

Structure (Quantum ESPRESSO input):
```
&SYSTEM
  ibrav = 0, nat = 10, ntyp = 4
/
ATOMIC_SPECIES
Au 196.97 Au.upf
Ba 137.33 Ba.upf
Ga 69.72 Ga.upf
Sn 118.71 Sn.upf
ATOMIC_POSITIONS crystal
Au 0.000 0.000 0.000
Au 0.500 0.500 0.000
Au 0.500 0.000 0.390
Au 0.000 0.500 0.610
Ba 0.000 0.500 0.255
Ba 0.500 0.000 0.745
Ga 0.500 0.500 0.500
Ga 0.000 0.000 0.500
Sn 0.000 0.500 0.866
Sn 0.500 0.000 0.134
CELL_PARAMETERS angstrom
4.807 0.000 0.000
0.000 4.807 0.000
0.000 0.000 10.978
```

---

#b
First-principles (PBE) data for a relaxed BaGaSnAu2 crystal, as listed in the Open Quantum Materials Database. Values from VASP.

Structure (Quantum ESPRESSO input):
```
&SYSTEM
  ibrav = 0, nat = 10, ntyp = 4
/
ATOMIC_SPECIES
Ga 69.72 Ga.upf
Sn 118.71 Sn.upf
Au 196.97 Au.upf
Ba 137.33 Ba.upf
ATOMIC_POSITIONS crystal
Ga 0.500 0.000 0.109
Ga 0.000 0.500 0.891
Sn 0.500 0.500 0.500
Sn 0.000 0.000 0.500
Au 0.500 0.500 0.000
Au 0.500 0.000 0.352
Au 0.000 0.500 0.648
Au 0.000 0.000 0.000
Ba 0.500 0.000 0.762
Ba 0.000 0.500 0.238
CELL_PARAMETERS angstrom
-3.656 -2.535 -1.926
2.480 -4.106 0.696
-4.440 -1.024 9.777
```

---

Which structure is most stable? #b, by 6 meV/atom over the runner-up.

---

#a
First-principles (PBE) data for a relaxed BaZnGaAu crystal, as listed in the Open Quantum Materials Database. Values from VASP.

Structure (Quantum ESPRESSO input):
```
&SYSTEM
  ibrav = 0, nat = 4, ntyp = 4
/
ATOMIC_SPECIES
Au 196.97 Au.upf
Zn 65.41 Zn.upf
Ga 69.72 Ga.upf
Ba 137.33 Ba.upf
ATOMIC_POSITIONS crystal
Au 0.750 0.750 0.750
Zn 0.250 0.250 0.250
Ga 0.000 0.000 0.000
Ba 0.500 0.500 0.500
CELL_PARAMETERS angstrom
1.760 1.934 4.560
2.437 4.656 0.114
-2.369 4.154 2.183
```

---

#b
First-principles (PBE) data for a relaxed BaZnGaAu crystal, as listed in the Open Quantum Materials Database. Values from VASP.

Structure (Quantum ESPRESSO input):
```
&SYSTEM
  ibrav = 0, nat = 4, ntyp = 4
/
ATOMIC_SPECIES
Zn 65.41 Zn.upf
Ba 137.33 Ba.upf
Au 196.97 Au.upf
Ga 69.72 Ga.upf
ATOMIC_POSITIONS crystal
Zn 0.500 0.500 0.500
Ba 0.000 0.000 0.000
Au 0.750 0.750 0.750
Ga 0.250 0.250 0.250
CELL_PARAMETERS angstrom
3.768 0.414 3.622
-0.153 3.893 3.509
-1.069 -1.041 5.026
```

---

#c
First-principles (PBE) data for a relaxed BaZnGaAu crystal, as listed in the Open Quantum Materials Database. Values from VASP.

Structure (Quantum ESPRESSO input):
```
&SYSTEM
  ibrav = 0, nat = 4, ntyp = 4
/
ATOMIC_SPECIES
Ba 137.33 Ba.upf
Ga 69.72 Ga.upf
Au 196.97 Au.upf
Zn 65.41 Zn.upf
ATOMIC_POSITIONS crystal
Ba 0.250 0.250 0.250
Ga 0.000 0.000 0.000
Au 0.750 0.750 0.750
Zn 0.500 0.500 0.500
CELL_PARAMETERS angstrom
-2.994 -3.389 2.421
-3.624 1.635 3.242
-4.953 -0.413 -1.269
```

---

Which structure is most stable? #a, by 23 meV/atom over the runner-up.

---

#a
First-principles (PBE) data for a relaxed BaSrGe3Au crystal, as listed in the Open Quantum Materials Database. Values from VASP.

Structure (Quantum ESPRESSO input):
```
&SYSTEM
  ibrav = 0, nat = 12, ntyp = 4
/
ATOMIC_SPECIES
Ge 72.64 Ge.upf
Ba 137.33 Ba.upf
Sr 87.62 Sr.upf
Au 196.97 Au.upf
ATOMIC_POSITIONS crystal
Ge 0.665 0.168 0.335
Ge 0.832 0.335 0.168
Ge 0.666 0.666 0.334
Ge 0.168 0.665 0.832
Ge 0.335 0.832 0.665
Ge 0.334 0.334 0.666
Ba 0.748 0.252 0.748
Ba 0.252 0.748 0.252
Sr 0.250 0.250 0.250
Sr 0.750 0.750 0.750
Au 0.168 0.168 0.832
Au 0.832 0.832 0.168
CELL_PARAMETERS angstrom
0.000 4.825 7.619
4.418 0.000 7.619
4.418 4.825 0.000
```

---

#b
First-principles (PBE) data for a relaxed BaSrGe3Au crystal, as listed in the Open Quantum Materials Database. Values from VASP.

Structure (Quantum ESPRESSO input):
```
&SYSTEM
  ibrav = 0, nat = 12, ntyp = 4
/
ATOMIC_SPECIES
Au 196.97 Au.upf
Sr 87.62 Sr.upf
Ge 72.64 Ge.upf
Ba 137.33 Ba.upf
ATOMIC_POSITIONS crystal
Au 0.665 0.665 0.335
Au 0.335 0.335 0.665
Sr 0.248 0.752 0.248
Sr 0.752 0.248 0.752
Ge 0.164 0.164 0.836
Ge 0.330 0.833 0.670
Ge 0.167 0.670 0.833
Ge 0.836 0.836 0.164
Ge 0.833 0.330 0.167
Ge 0.670 0.167 0.330
Ba 0.250 0.250 0.250
Ba 0.750 0.750 0.750
CELL_PARAMETERS angstrom
6.498 -0.597 6.184
4.402 5.474 5.314
-2.308 -0.465 6.039
```

---

Which structure is most stable? #a, by 15 meV/atom over the runner-up.

---

#a
First-principles (PBE) data for a relaxed BaLuHgAu crystal, as listed in the Open Quantum Materials Database. Values from VASP.

Structure (Quantum ESPRESSO input):
```
&SYSTEM
  ibrav = 0, nat = 4, ntyp = 4
/
ATOMIC_SPECIES
Lu 174.97 Lu.upf
Ba 137.33 Ba.upf
Au 196.97 Au.upf
Hg 200.59 Hg.upf
ATOMIC_POSITIONS crystal
Lu 0.500 0.500 0.500
Ba 0.250 0.250 0.250
Au 0.750 0.750 0.750
Hg 0.000 0.000 0.000
CELL_PARAMETERS angstrom
-5.116 -0.879 0.850
-3.617 2.724 -2.677
-2.904 -2.391 -3.677
```

---

#b
First-principles (PBE) data for a relaxed BaLuHgAu crystal, as listed in the Open Quantum Materials Database. Values from VASP.

Structure (Quantum ESPRESSO input):
```
&SYSTEM
  ibrav = 0, nat = 4, ntyp = 4
/
ATOMIC_SPECIES
Lu 174.97 Lu.upf
Au 196.97 Au.upf
Ba 137.33 Ba.upf
Hg 200.59 Hg.upf
ATOMIC_POSITIONS crystal
Lu 0.500 0.500 0.500
Au 0.750 0.750 0.750
Ba 0.000 0.000 0.000
Hg 0.250 0.250 0.250
CELL_PARAMETERS angstrom
1.599 -2.624 4.444
-2.588 0.783 4.678
-3.078 -3.927 2.074
```

---

#c
First-principles (PBE) data for a relaxed BaLuHgAu crystal, as listed in the Open Quantum Materials Database. Values from VASP.

Structure (Quantum ESPRESSO input):
```
&SYSTEM
  ibrav = 0, nat = 4, ntyp = 4
/
ATOMIC_SPECIES
Lu 174.97 Lu.upf
Hg 200.59 Hg.upf
Au 196.97 Au.upf
Ba 137.33 Ba.upf
ATOMIC_POSITIONS crystal
Lu 0.250 0.250 0.250
Hg 0.000 0.000 0.000
Au 0.750 0.750 0.750
Ba 0.500 0.500 0.500
CELL_PARAMETERS angstrom
4.733 -0.314 -2.277
2.996 -4.262 0.738
0.796 -3.373 -3.959
```

---

Which structure is most stable? #b, by 230 meV/atom over the runner-up.